No. 1
# TbTmTc (PBE, relaxed)
# calculated volume: 73.6 Å³/cell
# relative energy among the computed polymorphs: 0 meV per atom
# crystal system: tetragonal
# magnetic moment: 0.00 Bohr magnetons per cell
# formation enthalpy at 0 K: -63 meV/atom
data_TbTmTc
_cell_length_a 6.621
_cell_length_b 6.621
_cell_length_c 6.621
_cell_angle_alpha 149.72
_cell_angle_beta 149.72
_cell_angle_gamma 43.35
_symmetry_space_group_name_H-M 'P 1'
_symmetry_Int_Tables_number 1
_symmetry_space_group_name_Hall 'P 1'
loop_
_atom_site_label
_atom_site_fract_x
_atom_site_fract_y
_atom_site_fract_z
Tb1 0.000 0.000 0.000
Tm1 0.262 0.262 0.000
Tc1 0.634 0.634 0.000

***

No. 2
# TbTm3Tc (PBE, relaxed)
# calculated volume: 285.2 Å³/cell
# relative energy among the computed polymorphs: 0 meV per atom
# crystal system: monoclinic
# magnetic moment: 0.00 Bohr magnetons per cell
# formation enthalpy at 0 K: -36 meV/atom
data_TbTm3Tc
_cell_length_a 7.180
_cell_length_b 7.180
_cell_length_c 7.798
_cell_angle_alpha 122.62
_cell_angle_beta 122.62
_cell_angle_gamma 72.99
_symmetry_space_group_name_H-M 'P 1'
_symmetry_Int_Tables_number 1
_symmetry_space_group_name_Hall 'P 1'
loop_
_atom_site_label
_atom_site_fract_x
_atom_site_fract_y
_atom_site_fract_z
Tb1 0.053 0.053 0.343
Tb2 0.947 0.947 0.657
Tm1 0.057 0.449 0.206
Tm2 0.445 0.445 0.742
Tm3 0.449 0.057 0.206
Tm4 0.551 0.943 0.794
Tm5 0.555 0.555 0.258
Tm6 0.943 0.551 0.794
Tc1 0.250 0.250 0.878
Tc2 0.750 0.750 0.122

***

No. 3
# Tb5Tm4Tc2 (PBE, relaxed)
# calculated volume: 310.0 Å³/cell
# crystal system: monoclinic
# magnetic moment: 0.00 Bohr magnetons per cell
# formation enthalpy at 0 K: 28 meV/atom
data_Tb5Tm4Tc2
_cell_length_a 8.346
_cell_length_b 3.599
_cell_length_c 10.322
_cell_angle_alpha 90.00
_cell_angle_beta 91.61
_cell_angle_gamma 90.00
_symmetry_space_group_name_H-M 'P 1'
_symmetry_Int_Tables_number 1
_symmetry_space_group_name_Hall 'P 1'
loop_
_atom_site_label
_atom_site_fract_x
_atom_site_fract_y
_atom_site_fract_z
Tb1 0.000 0.000 0.000
Tb2 0.063 0.000 0.341
Tb3 0.340 0.000 0.845
Tb4 0.660 0.000 0.155
Tb5 0.937 0.000 0.659
Tm1 0.319 0.500 0.147
Tm2 0.319 0.500 0.550
Tm3 0.681 0.500 0.450
Tm4 0.681 0.500 0.853
Tc1 0.421 0.000 0.344
Tc2 0.579 0.000 0.656

***

No. 4
# TbTm4Tc2 (PBE, relaxed)
# calculated volume: 350.3 Å³/cell
# crystal system: monoclinic
# magnetic moment: 0.00 Bohr magnetons per cell
# formation enthalpy at 0 K: -73 meV/atom
data_TbTm4Tc2
_cell_length_a 7.724
_cell_length_b 6.221
_cell_length_c 7.859
_cell_angle_alpha 90.00
_cell_angle_beta 111.91
_cell_angle_gamma 90.00
_symmetry_space_group_name_H-M 'P 1'
_symmetry_Int_Tables_number 1
_symmetry_space_group_name_Hall 'P 1'
loop_
_atom_site_label
_atom_site_fract_x
_atom_site_fract_y
_atom_site_fract_z
Tb1 0.024 0.250 0.157
Tb2 0.976 0.750 0.843
Tm1 0.240 0.501 0.582
Tm2 0.240 0.999 0.582
Tm3 0.327 0.750 0.253
Tm4 0.388 0.250 0.025
Tm5 0.612 0.750 0.975
Tm6 0.673 0.250 0.747
Tm7 0.760 0.001 0.418
Tm8 0.760 0.499 0.418
Tc1 0.034 0.250 0.753
Tc2 0.423 0.250 0.382
Tc3 0.577 0.750 0.618
Tc4 0.966 0.750 0.247

***

No. 5
# Tb2TmTc (PBE, relaxed)
# calculated volume: 424.1 Å³/cell
# relative energy among the computed polymorphs: 0 meV per atom
# crystal system: orthorhombic
# magnetic moment: 0.00 Bohr magnetons per cell
# formation enthalpy at 0 K: -102 meV/atom
data_Tb2TmTc
_cell_length_a 7.388
_cell_length_b 9.205
_cell_length_c 6.236
_cell_angle_alpha 90.00
_cell_angle_beta 90.00
_cell_angle_gamma 90.00
_symmetry_space_group_name_H-M 'P 1'
_symmetry_Int_Tables_number 1
_symmetry_space_group_name_Hall 'P 1'
loop_
_atom_site_label
_atom_site_fract_x
_atom_site_fract_y
_atom_site_fract_z
Tb1 0.177 0.063 0.161
Tb2 0.177 0.437 0.161
Tb3 0.323 0.563 0.661
Tb4 0.323 0.937 0.661
Tb5 0.677 0.063 0.339
Tb6 0.677 0.437 0.339
Tb7 0.823 0.563 0.839
Tb8 0.823 0.937 0.839
Tm1 0.043 0.250 0.631
Tm2 0.457 0.750 0.131
Tm3 0.543 0.250 0.869
Tm4 0.957 0.750 0.369
Tc1 0.113 0.750 0.961
Tc2 0.387 0.250 0.461
Tc3 0.613 0.750 0.539
Tc4 0.887 0.250 0.039

***

No. 6
# Tb2TmTc (PBE, relaxed)
# calculated volume: 211.3 Å³/cell
# relative energy among the computed polymorphs: 1 meV per atom
# crystal system: orthorhombic
# magnetic moment: 0.00 Bohr magnetons per cell
# formation enthalpy at 0 K: -101 meV/atom
data_Tb2TmTc
_cell_length_a 6.242
_cell_length_b 6.242
_cell_length_c 9.168
_cell_angle_alpha 90.00
_cell_angle_beta 90.00
_cell_angle_gamma 143.75
_symmetry_space_group_name_H-M 'P 1'
_symmetry_Int_Tables_number 1
_symmetry_space_group_name_Hall 'P 1'
loop_
_atom_site_label
_atom_site_fract_x
_atom_site_fract_y
_atom_site_fract_z
Tb1 0.142 0.858 0.566
Tb2 0.142 0.858 0.934
Tb3 0.858 0.142 0.066
Tb4 0.858 0.142 0.434
Tm1 0.427 0.573 0.750
Tm2 0.573 0.427 0.250
Tc1 0.239 0.761 0.250
Tc2 0.761 0.239 0.750

***

No. 7
# TbTm3Tc (PBE, relaxed)
# calculated volume: 270.6 Å³/cell
# relative energy among the computed polymorphs: 7 meV per atom
# crystal system: orthorhombic
# magnetic moment: 0.00 Bohr magnetons per cell
# formation enthalpy at 0 K: -30 meV/atom
data_TbTm3Tc
_cell_length_a 4.869
_cell_length_b 8.131
_cell_length_c 6.835
_cell_angle_alpha 90.00
_cell_angle_beta 90.00
_cell_angle_gamma 90.00
_symmetry_space_group_name_H-M 'P 1'
_symmetry_Int_Tables_number 1
_symmetry_space_group_name_Hall 'P 1'
loop_
_atom_site_label
_atom_site_fract_x
_atom_site_fract_y
_atom_site_fract_z
Tb1 0.250 0.250 0.077
Tb2 0.750 0.750 0.923
Tm1 0.250 0.549 0.678
Tm2 0.250 0.750 0.258
Tm3 0.250 0.951 0.678
Tm4 0.750 0.049 0.322
Tm5 0.750 0.250 0.742
Tm6 0.750 0.451 0.322
Tc1 0.250 0.250 0.481
Tc2 0.750 0.750 0.519

***

No. 8
# Tb2TmTc9 (PBE, relaxed)
# calculated volume: 216.2 Å³/cell
# crystal system: trigonal
# magnetic moment: 0.00 Bohr magnetons per cell
# formation enthalpy at 0 K: -41 meV/atom
data_Tb2TmTc9
_cell_length_a 9.297
_cell_length_b 9.297
_cell_length_c 9.297
_cell_angle_alpha 33.35
_cell_angle_beta 33.35
_cell_angle_gamma 33.35
_symmetry_space_group_name_H-M 'P 1'
_symmetry_Int_Tables_number 1
_symmetry_space_group_name_Hall 'P 1'
loop_
_atom_site_label
_atom_site_fract_x
_atom_site_fract_y
_atom_site_fract_z
Tb1 0.144 0.144 0.144
Tb2 0.856 0.856 0.856
Tm1 0.000 0.000 0.000
Tc1 0.074 0.587 0.587
Tc2 0.337 0.337 0.337
Tc3 0.413 0.413 0.926
Tc4 0.413 0.926 0.413
Tc5 0.500 0.500 0.500
Tc6 0.587 0.074 0.587
Tc7 0.587 0.587 0.074
Tc8 0.663 0.663 0.663
Tc9 0.926 0.413 0.413

***

No. 9
# TbTm3Tc (PBE, relaxed)
# calculated volume: 150.6 Å³/cell
# relative energy among the computed polymorphs: 159 meV per atom
# crystal system: cubic
# magnetic moment: 0.00 Bohr magnetons per cell
# formation enthalpy at 0 K: 122 meV/atom
data_TbTm3Tc
_cell_length_a 5.320
_cell_length_b 5.320
_cell_length_c 5.320
_cell_angle_alpha 90.00
_cell_angle_beta 90.00
_cell_angle_gamma 90.00
_symmetry_space_group_name_H-M 'P 1'
_symmetry_Int_Tables_number 1
_symmetry_space_group_name_Hall 'P 1'
loop_
_atom_site_label
_atom_site_fract_x
_atom_site_fract_y
_atom_site_fract_z
Tb1 0.000 0.000 0.000
Tm1 0.000 0.500 0.500
Tm2 0.500 0.000 0.500
Tm3 0.500 0.500 0.000
Tc1 0.500 0.500 0.500

***

No. 10
# TbTmTc (PBE, relaxed)
# calculated volume: 155.1 Å³/cell
# relative energy among the computed polymorphs: 167 meV per atom
# crystal system: triclinic
# magnetic moment: 0.00 Bohr magnetons per cell
# formation enthalpy at 0 K: 104 meV/atom
data_TbTmTc
_cell_length_a 3.366
_cell_length_b 6.944
_cell_length_c 7.619
_cell_angle_alpha 63.07
_cell_angle_beta 84.35
_cell_angle_gamma 77.70
_symmetry_space_group_name_H-M 'P 1'
_symmetry_Int_Tables_number 1
_symmetry_space_group_name_Hall 'P 1'
loop_
_atom_site_label
_atom_site_fract_x
_atom_site_fract_y
_atom_site_fract_z
Tb1 0.162 0.253 0.499
Tb2 0.838 0.747 0.501
Tm1 0.000 0.000 0.000
Tm2 0.000 0.500 0.000
Tc1 0.499 0.623 0.254
Tc2 0.501 0.377 0.746

***

No. 11
# TbUTc2 (PBE, relaxed)
# calculated volume: 79.6 Å³/cell
# relative energy among the computed polymorphs: 0 meV per atom
# crystal system: tetragonal
# magnetic moment: 0.00 Bohr magnetons per cell
# formation enthalpy at 0 K: -143 meV/atom
data_TbUTc2
_cell_length_a 3.366
_cell_length_b 3.366
_cell_length_c 7.025
_cell_angle_alpha 90.00
_cell_angle_beta 90.00
_cell_angle_gamma 90.00
_symmetry_space_group_name_H-M 'P 1'
_symmetry_Int_Tables_number 1
_symmetry_space_group_name_Hall 'P 1'
loop_
_atom_site_label
_atom_site_fract_x
_atom_site_fract_y
_atom_site_fract_z
Tb1 0.000 0.000 0.000
U1 0.000 0.000 0.500
Tc1 0.500 0.500 0.294
Tc2 0.500 0.500 0.706

***

No. 12
# TbUTc2 (PBE, relaxed)
# calculated volume: 78.3 Å³/cell
# relative energy among the computed polymorphs: 186 meV per atom
# crystal system: tetragonal
# magnetic moment: 0.59 Bohr magnetons per cell
# formation enthalpy at 0 K: 44 meV/atom
data_TbUTc2
_cell_length_a 4.815
_cell_length_b 4.815
_cell_length_c 3.376
_cell_angle_alpha 90.00
_cell_angle_beta 90.00
_cell_angle_gamma 90.00
_symmetry_space_group_name_H-M 'P 1'
_symmetry_Int_Tables_number 1
_symmetry_space_group_name_Hall 'P 1'
loop_
_atom_site_label
_atom_site_fract_x
_atom_site_fract_y
_atom_site_fract_z
Tb1 0.000 0.000 0.000
U1 0.500 0.500 0.000
Tc1 0.000 0.500 0.500
Tc2 0.500 0.000 0.500

***

Copy entry 9 word for word.
# TbTm3Tc (PBE, relaxed)
# calculated volume: 150.6 Å³/cell
# relative energy among the computed polymorphs: 159 meV per atom
# crystal system: cubic
# magnetic moment: 0.00 Bohr magnetons per cell
# formation enthalpy at 0 K: 122 meV/atom
data_TbTm3Tc
_cell_length_a 5.320
_cell_length_b 5.320
_cell_length_c 5.320
_cell_angle_alpha 90.00
_cell_angle_beta 90.00
_cell_angle_gamma 90.00
_symmetry_space_group_name_H-M 'P 1'
_symmetry_Int_Tables_number 1
_symmetry_space_group_name_Hall 'P 1'
loop_
_atom_site_label
_atom_site_fract_x
_atom_site_fract_y
_atom_site_fract_z
Tb1 0.000 0.000 0.000
Tm1 0.000 0.500 0.500
Tm2 0.500 0.000 0.500
Tm3 0.500 0.500 0.000
Tc1 0.500 0.500 0.500

***

Among the records above, which one has the lowest calculated volume? number 1

***

What is the calculated volume in the eighth record? 216.2 Å³/cell

***

Which formula does entry 3 have? Tb5Tm4Tc2